i | # CaMoW2 PBE optimized geometry
# - Spin magnetization: 0.0 μB/f.u.
data_CaMoW2
_cell_length_a 3.2658
_cell_length_b 4.5939
_cell_length_c 9.7040
_cell_angle_alpha 90.00
_cell_angle_beta 90.00
_cell_angle_gamma 90.00
_symmetry_space_group_name_H-M 'C m m 2'
_symmetry_Int_Tables_number 35
_symmetry_space_group_name_Hall 'C 2 -2'
loop_
_atom_site_label
_atom_site_type_symbol
_atom_site_fract_x
_atom_site_fract_y
_atom_site_fract_z
_atom_site_occupancy
Ca1 Ca 0.0000 0.0000 0.0000 1
Mo1 Mo 0.0000 0.5000 0.7213 1
W1 W 0.0000 0.0000 0.5005 1
W2 W 0.0000 0.5000 0.2776 1

ii | # CaMoW2 PBE optimized geometry
# - Spin magnetization: 0.0 μB/f.u.
data_CaMoW2
_cell_length_a 5.5200
_cell_length_b 9.7256
_cell_length_c 2.6858
_cell_angle_alpha 90.00
_cell_angle_beta 90.00
_cell_angle_gamma 90.00
_symmetry_space_group_name_H-M 'C m m m'
_symmetry_Int_Tables_number 65
_symmetry_space_group_name_Hall '-C 2 2'
loop_
_atom_site_label
_atom_site_type_symbol
_atom_site_fract_x
_atom_site_fract_y
_atom_site_fract_z
_atom_site_occupancy
Ca1 Ca 0.0000 0.0000 0.0000 1
Mo1 Mo 0.0000 0.5000 0.0000 1
W1 W 0.2500 0.2500 0.5000 1

Most stable to least stable: i, ii